No. 1
Computed, not measured: a geometry-optimized La6Sn2Ge structure at the GGA-PBE level of DFT.

Computed properties:
Formation enthalpy at 0 K ... -629 meV per atom
Crystal system ... orthorhombic
DFT total energy ... -5.3170 eV per atom
N(E_F) ... 17.398 states/eV/cell

abc: 4.515 14.677 8.731
angles: 90.00 90.00 90.00
Space group Amm2 (No. 38)
Symmetry-distinct sites (fractional):
La  0.000  0.000  0.000 x2
La  0.000  0.107  0.585 x4
La  0.500  0.000  0.269 x2
La  0.500  0.201  0.927 x4
Sn  0.000  0.181  0.220 x4
Ge  0.500  0.000  0.759 x2

No. 2
Computed, not measured: a geometry-optimized La4SnGe structure at the GGA-PBE level of DFT.

Computed properties:
Formation enthalpy at 0 K ... -602 meV per atom
Distance to the lowest polymorph of the same formula ... 0.000 eV/atom
Crystal system ... monoclinic
DFT total energy ... -5.3232 eV per atom
N(E_F) ... 13.989 states/eV/cell

abc: 5.954 7.030 9.111
angles: 90.00 100.47 90.00
Space group P2_1/m (No. 11)
Symmetry-distinct sites (fractional):
La  0.165  0.250  0.050 x2
La  0.207  0.750  0.373 x2
La  0.324  0.525  0.744 x4
Sn  0.228  0.250  0.418 x2
Ge  0.345  0.750  0.051 x2

No. 3
Computed, not measured: a geometry-optimized LaSnGe structure at the GGA-PBE level of DFT.

Computed properties:
Formation enthalpy at 0 K ... -671 meV per atom
Crystal system ... orthorhombic
DFT total energy ... -5.1866 eV per atom
N(E_F) ... 7.800 states/eV/cell

abc: 4.440 18.032 4.121
angles: 90.00 90.00 90.00
Space group Cmcm (No. 63)
Symmetry-distinct sites (fractional):
La  0.000  0.097  0.250 x4
Sn  0.000  0.261  0.750 x4
Ge  0.000  0.455  0.250 x4

No. 4
Computed, not measured: a geometry-optimized LaSnGe structure at the GGA-PBE level of DFT.

Computed properties:
Formation enthalpy at 0 K ... -626 meV per atom
Crystal system ... orthorhombic
DFT total energy ... -5.1423 eV per atom
N(E_F) ... 8.193 states/eV/cell

abc: 4.308 18.613 4.062
angles: 90.00 90.00 90.00
Space group Cmcm (No. 63)
Symmetry-distinct sites (fractional):
La  0.000  0.096  0.250 x4
Sn  0.000  0.282  0.250 x4
Ge  0.000  0.456  0.250 x4

No. 5
Computed, not measured: a geometry-optimized La8Sn5Ge structure at the GGA-PBE level of DFT.

Computed properties:
Formation enthalpy at 0 K ... -784 meV per atom
Crystal system ... tetragonal
DFT total energy ... -5.3593 eV per atom
N(E_F) ... 3.649 states/eV/cell

abc: 9.742 9.742 9.768
angles: 90.00 90.00 90.00
Space group I-4 (No. 82)
Symmetry-distinct sites (fractional):
La  0.069  0.189  0.303 x8
La  0.070  0.322  0.948 x8
Sn  0.000  0.000  0.000 x2
Sn  0.123  0.250  0.627 x8
Ge  0.000  0.500  0.250 x2

No. 6
Computed, not measured: a geometry-optimized La2Sn5Ge structure at the GGA-PBE level of DFT.

Computed properties:
Formation enthalpy at 0 K ... -551 meV per atom
Crystal system ... monoclinic
DFT total energy ... -4.8619 eV per atom
N(E_F) ... 4.121 states/eV/cell

abc: 9.465 9.465 6.747
angles: 90.00 134.54 90.00
Space group Cm (No. 8)
Symmetry-distinct sites (fractional):
La  0.000  0.250  0.000 x4
Sn  0.000  0.246  0.500 x4
Sn  0.245  0.000  0.499 x2
Sn  0.250  0.000  0.000 x2
Sn  0.254  0.500  0.500 x2
Ge  0.268  0.500  0.036 x2

No. 7
Computed, not measured: a geometry-optimized La3Sn2Ge2 structure at the GGA-PBE level of DFT.

Computed properties:
Formation enthalpy at 0 K ... -722 meV per atom
Crystal system ... orthorhombic
DFT total energy ... -5.2971 eV per atom
N(E_F) ... 11.134 states/eV/cell

abc: 4.430 4.675 19.421
angles: 90.00 90.00 90.00
Space group Immm (No. 71)
Symmetry-distinct sites (fractional):
La  0.000  0.000  0.000 x2
La  0.000  0.500  0.323 x4
Sn  0.000  0.500  0.153 x4
Ge  0.000  0.000  0.436 x4

No. 8
Computed, not measured: a geometry-optimized LaSnGe3 structure at the GGA-PBE level of DFT.

Computed properties:
Formation enthalpy at 0 K ... 818 meV per atom
Distance to the lowest polymorph of the same formula ... 0.493 eV/atom
Crystal system ... cubic
DFT total energy ... -3.7383 eV per atom
N(E_F) ... 4.170 states/eV/cell

abc: 5.608 5.608 5.608
angles: 90.00 90.00 90.00
Space group Pm-3m (No. 221)
Symmetry-distinct sites (fractional):
La  0.000  0.000  0.000 x1
Sn  0.500  0.500  0.500 x1
Ge  0.000  0.000  0.500 x3

No. 9
Computed, not measured: a geometry-optimized LaSnGe structure at the GGA-PBE level of DFT.

Computed properties:
Formation enthalpy at 0 K ... -404 meV per atom
Crystal system ... tetragonal
DFT total energy ... -4.9196 eV per atom
N(E_F) ... 3.538 states/eV/cell

abc: 4.488 4.488 8.779
angles: 90.00 90.00 90.00
Space group I4mm (No. 107)
Symmetry-distinct sites (fractional):
La  0.000  0.000  0.000 x2
Sn  0.000  0.000  0.642 x2
Ge  0.000  0.000  0.347 x2

No. 10
Computed, not measured: a geometry-optimized La6SnGe2 structure at the GGA-PBE level of DFT.

Computed properties:
Formation enthalpy at 0 K ... -614 meV per atom
Crystal system ... orthorhombic
DFT total energy ... -5.3700 eV per atom
N(E_F) ... 41.234 states/eV/cell

abc: 10.034 10.407 10.830
angles: 90.00 90.00 90.00
Space group Immm (No. 71)
Symmetry-distinct sites (fractional):
La  0.000  0.204  0.246 x8
La  0.210  0.500  0.178 x8
La  0.226  0.315  0.500 x8
Sn  0.000  0.000  0.000 x2
Sn  0.000  0.000  0.500 x2
Ge  0.000  0.370  0.000 x4
Ge  0.000  0.500  0.383 x4

No. 11
Computed, not measured: a geometry-optimized La4Sn5Ge2 structure at the GGA-PBE level of DFT.

Computed properties:
Formation enthalpy at 0 K ... -725 meV per atom
Crystal system ... monoclinic
DFT total energy ... -5.1759 eV per atom
N(E_F) ... 4.727 states/eV/cell

abc: 7.729 4.511 9.063
angles: 90.00 93.56 90.00
Space group P2/m (No. 10)
Symmetry-distinct sites (fractional):
La  0.220  0.000  0.361 x2
La  0.235  0.000  0.901 x2
Sn  0.136  0.500  0.630 x2
Sn  0.455  0.500  0.160 x2
Sn  0.500  0.500  0.500 x1
Ge  0.087  0.500  0.125 x2

No. 12
Computed, not measured: a geometry-optimized La5SnGe2 structure at the GGA-PBE level of DFT.

Computed properties:
Formation enthalpy at 0 K ... -730 meV per atom
Crystal system ... tetragonal
DFT total energy ... -5.4639 eV per atom
N(E_F) ... 37.380 states/eV/cell

abc: 8.255 8.255 14.438
angles: 90.00 90.00 90.00
Space group I4/mcm (No. 140)
Symmetry-distinct sites (fractional):
La  0.000  0.000  0.000 x4
La  0.167  0.333  0.142 x16
Sn  0.000  0.000  0.250 x4
Ge  0.132  0.368  0.500 x8